An optimized crystal structure of Al2CoSb, computed with GGA-PBE.

The structure in CIF format:
```
data_Al2CoSb
_cell_length_a 4.079
_cell_length_b 4.079
_cell_length_c 7.966
_cell_angle_alpha 90.00
_cell_angle_beta 90.00
_cell_angle_gamma 90.00
_space_group_name_H-M_alt 'I -4 m 2'
_space_group_IT_number 119
_space_group_name_Hall 'I -4 -2'
loop_
_atom_site_label
_atom_site_fract_x
_atom_site_fract_y
_atom_site_fract_z
_atom_site_occupancy
Al1 0.000 0.000 0.000 1
Al2 0.000 0.500 0.250 1
Co1 0.000 0.500 0.750 1
Sb1 0.000 0.000 0.500 1
```

Summary:
- M_tot: 0.0 μB/f.u.
- Theoretical density: 5.88 g cm⁻³
- E_form (uncorrected): 0.22 eV per atom
- D(E_F): 3.2 states/eV/f.u.